[1]
The following is a DFT calculation (SCAN) of ReHgBr2 at its PBEsol-relaxed geometry. Values from VASP.

Formation energy from raw total energies: 0.42 eV per atom
E_tot: -176.52 eV per cell
Energy above the most stable polymorph in this dataset: 36 meV per atom
D(E_F): 0.420 states/eV per atom

```
&SYSTEM
  ibrav = 0, nat = 4, ntyp = 3
/
ATOMIC_SPECIES
Re 186.21 Re.upf
Hg 200.59 Hg.upf
Br 79.90 Br.upf
ATOMIC_POSITIONS angstrom
Re 0.0000 0.0000 0.0000
Hg 0.0000 0.0000 6.3587
Br 1.5294 0.0000 2.0470
Br 0.0000 2.4473 4.3117
CELL_PARAMETERS angstrom
-1.5294 2.4473 6.3587
1.5294 -2.4473 6.3587
1.5294 2.4473 -6.3587
```

=====

[2]
The following is a DFT calculation (SCAN) of Y4MgS7 at its PBEsol-relaxed geometry. Values from VASP.

Formation energy from raw total energies: -2.27 eV per atom
E_tot: -210.95 eV per cell
D(E_F): 0.000 states/eV per atom

```
&SYSTEM
  ibrav = 0, nat = 12, ntyp = 3
/
ATOMIC_SPECIES
Y 88.91 Y.upf
Mg 24.30 Mg.upf
S 32.06 S.upf
ATOMIC_POSITIONS angstrom
Y 0.0000 0.0000 0.0000
Y 3.0235 0.0000 6.5096
Y 6.1240 0.0000 3.9688
Y 6.2356 0.0000 8.7569
Mg 9.4105 0.0000 2.3797
S -1.8197 0.0000 8.1295
S 1.5886 0.0000 3.1996
S 1.8946 0.0000 9.2450
S 4.8477 0.0000 1.6040
S 8.1228 0.0000 0.2120
S 7.3535 0.0000 6.3448
S 10.5235 0.0000 4.7739
CELL_PARAMETERS angstrom
6.2221 -1.8823 0.0000
6.2221 1.8823 0.0000
-2.9830 0.0000 10.9331
```

=====

[3]
The following is a DFT calculation (SCAN) of ReNi2Te at its PBEsol-relaxed geometry. Values from VASP.

Formation energy from raw total energies: 0.42 eV per atom
E_tot: -139.02 eV per cell
D(E_F): 0.967 states/eV per atom

```
&SYSTEM
  ibrav = 0, nat = 4, ntyp = 3
/
ATOMIC_SPECIES
Re 186.21 Re.upf
Ni 58.69 Ni.upf
Te 127.60 Te.upf
ATOMIC_POSITIONS angstrom
Re 0.0000 0.0000 0.0000
Ni 0.0000 0.0000 3.0768
Ni 1.5811 1.5811 4.2444
Te 1.5811 1.5811 1.6571
CELL_PARAMETERS angstrom
3.1622 0.0000 0.0000
0.0000 3.1622 0.0000
0.0000 0.0000 5.5828
```

=====

[4]
The following is a DFT calculation (SCAN) of AlTeH6C2Br3 at its PBEsol-relaxed geometry. Values from VASP.

E_tot: -601.65 eV per cell
D(E_F): 0.000 states/eV per atom

```
&SYSTEM
  ibrav = 0, nat = 52, ntyp = 5
/
ATOMIC_SPECIES
Al 26.98 Al.upf
Te 127.60 Te.upf
H 1.01 H.upf
C 12.01 C.upf
Br 79.90 Br.upf
ATOMIC_POSITIONS angstrom
Al 0.2591 0.7601 2.6589
Al 0.2591 5.9386 7.9767
Al 6.3963 7.4589 2.6589
Al 6.3963 12.6374 7.9767
Te 0.7644 8.5954 7.9767
Te 0.7644 11.5009 2.6589
Te 5.8910 1.8966 7.9767
Te 5.8910 4.8021 2.6589
H 1.7234 8.4782 5.4749
H 1.7234 8.4782 10.4786
H 1.7234 11.6180 0.1571
H 1.7234 11.6180 5.1607
H 2.7598 9.5598 6.5047
H 2.7598 9.5598 9.4488
H 2.7598 10.5365 1.1869
H 2.7598 10.5365 4.1310
H 2.9273 7.7513 6.6118
H 2.9273 7.7513 9.3417
H 2.9273 12.3449 1.2940
H 2.9273 12.3449 4.0238
H 3.7281 1.0526 6.6118
H 3.7281 1.0526 9.3417
H 3.7281 5.6462 1.2940
H 3.7281 5.6462 4.0238
H 3.8956 2.8610 6.5047
H 3.8956 2.8610 9.4488
H 3.8956 3.8377 1.1869
H 3.8956 3.8377 4.1310
H 4.9320 1.7795 5.4749
H 4.9320 1.7795 10.4786
H 4.9320 4.9193 0.1571
H 4.9320 4.9193 5.1607
C 2.2415 8.5921 6.4373
C 2.2415 8.5921 9.5162
C 2.2415 11.5041 1.1194
C 2.2415 11.5041 4.1984
C 4.4138 1.8934 6.4373
C 4.4138 1.8934 9.5162
C 4.4138 4.8054 1.1194
C 4.4138 4.8054 4.1984
Br 1.1889 1.6120 0.7353
Br 1.1889 1.6120 4.5826
Br 1.1889 5.0867 6.0531
Br 1.1889 5.0867 9.9004
Br 2.0313 7.7128 2.6589
Br 2.0313 12.3835 7.9767
Br 4.6241 1.0140 2.6589
Br 4.6241 5.6847 7.9767
Br 5.4665 8.3108 0.7353
Br 5.4665 8.3108 4.5826
Br 5.4665 11.7855 6.0531
Br 5.4665 11.7855 9.9004
CELL_PARAMETERS angstrom
6.6554 0.0000 0.0000
0.0000 13.3975 0.0000
0.0000 0.0000 10.6357
```

=====

Calculated volume
In order: 23.8; 21.3; 14.0; 18.2
Unit: A^3/atom